(1)
# LiEr2MgSe4

An optimized crystal structure of LiEr2MgSe4 (GGA-PBE, Alexandria via LeMat-Bulk).

Properties
As for the density of states at the Fermi level: 2.692 states/eV/cell. The space group is P2/m (10). As for the total DFT energy (no corrections): -4.88 eV per atom.

Cell: 3.9651 6.9440 6.8470 Å, 71.11 90.00 90.00°
Positions (direct):
1 Se 0.0000 0.2597 0.2497
2 Se 0.0000 0.7403 0.7503
3 Se 0.5000 0.2632 0.7457
4 Se 0.5000 0.7368 0.2543
5 Li 0.5000 0.5000 0.0000
6 Er 0.5000 0.0000 0.5000
7 Er 0.0000 0.0000 0.0000
8 Mg 0.0000 0.5000 0.5000


(2)
# Li2Sm2ErMg5

An optimized crystal structure of Li2Sm2ErMg5 (GGA-PBE, Alexandria via LeMat-Bulk).

Properties
As for the density of states at the Fermi level: 16.672 states/eV/cell. The formation enthalpy at 0 K is -0.037 eV/atom. The space group is P4/mbm (127). As for the total DFT energy (no corrections): -2.62 eV per atom.

Cell: 4.4480 10.6171 10.6171 Å, 90.00 90.00 90.00°
Positions (direct):
1 Sm 0.0000 0.8195 0.6805
2 Sm 0.0000 0.1805 0.3195
3 Sm 0.0000 0.3195 0.8195
4 Sm 0.0000 0.6805 0.1805
5 Mg 0.5000 0.4378 0.2873
6 Mg 0.5000 0.7127 0.4378
7 Mg 0.5000 0.0000 0.5000
8 Mg 0.5000 0.7873 0.9378
9 Mg 0.5000 0.5000 0.0000
10 Mg 0.5000 0.9378 0.2127
11 Mg 0.5000 0.0622 0.7873
12 Mg 0.5000 0.2127 0.0622
13 Mg 0.5000 0.5622 0.7127
14 Mg 0.5000 0.2873 0.5622
15 Li 0.0000 0.8855 0.3855
16 Li 0.0000 0.1145 0.6145
17 Li 0.0000 0.3855 0.1145
18 Li 0.0000 0.6145 0.8855
19 Er 0.0000 0.0000 0.0000
20 Er 0.0000 0.5000 0.5000


(3)
# SrLiErMg

An optimized crystal structure of SrLiErMg (GGA-PBE, Alexandria via LeMat-Bulk).

Properties
As for the density of states at the Fermi level: 3.920 states/eV/cell. The formation enthalpy at 0 K is 0.102 eV/atom. The space group is F-43m (216). As for the total DFT energy (no corrections): -2.34 eV per atom.

Cell: 5.5832 5.5832 5.5832 Å, 60.00 60.00 60.00°
Positions (direct):
1 Li 0.5000 0.5000 0.5000
2 Mg 0.0000 0.0000 0.0000
3 Er 0.2500 0.2500 0.2500
4 Sr 0.7500 0.7500 0.7500


(4)
# LiTbErMg

An optimized crystal structure of LiTbErMg (GGA-PBE, Alexandria via LeMat-Bulk).

Properties
As for the density of states at the Fermi level: 5.909 states/eV/cell. The formation enthalpy at 0 K is 0.048 eV/atom. The space group is F-43m (216). As for the total DFT energy (no corrections): -3.13 eV per atom.

Cell: 5.2998 5.2998 5.2998 Å, 60.00 60.00 60.00°
Positions (direct):
1 Li 0.0000 0.0000 0.0000
2 Er 0.2500 0.2500 0.2500
3 Tb 0.7500 0.7500 0.7500
4 Mg 0.5000 0.5000 0.5000